Arrangement w

The following is a DFT calculation (GGA+U) of a relaxed structure of B3MoF.

Properties
- magnetization (μB/f.u.) = 0.0

a = 3.6192 Å, b = 3.6192 Å, c = 3.6192 Å
α = 90.00°, β = 90.00°, γ = 90.00°
Fractional coordinates of all 5 atoms:
B: 0.5000 0.0000 0.0000
B: 0.0000 0.5000 0.0000
B: 0.0000 0.0000 0.5000
Mo: 0.5000 0.5000 0.5000
F: 0.0000 0.0000 0.0000



Arrangement x

The following is a DFT calculation (GGA+U) of a relaxed structure of B3MoF.

Properties
- magnetization (μB/f.u.) = 2.2

a = 4.2938 Å, b = 4.2938 Å, c = 4.2938 Å
α = 90.00°, β = 90.00°, γ = 90.00°
Fractional coordinates of all 5 atoms:
F: 0.5000 0.5000 0.5000
B: 0.5000 0.0000 0.0000
B: 0.0000 0.5000 0.0000
B: 0.0000 0.0000 0.5000
Mo: 0.0000 0.0000 0.0000



Stability, highest: arrangement w